BaMoPb | PBE | relaxed

Cell lengths 7.441, 7.441, 7.441 Å; angles 90.00, 90.00, 90.00 degrees
Space group F-43m (No. 216)
Asymmetric unit:
Ba  0.000  0.000  0.000
Mo  0.250  0.250  0.250
Pb  0.000  0.000  0.500

Calculated values
DFT total energy: -4.6353 eV/atom

ScGeTeAuS2 | PBE | relaxed

Cell lengths 3.852, 13.673, 10.995 Å; angles 90.00, 90.00, 90.00 degrees
Space group Cmcm (No. 63)
Asymmetric unit:
Sc  0.000  0.000  0.000
Ge  0.000  0.253  0.250
Te  0.000  0.101  0.750
Au  0.000  0.408  0.750
S  0.000  0.377  0.538

Calculated values
DFT total energy: -4.8892 eV/atom

GdHfU | PBE | relaxed

Cell lengths 7.025, 7.025, 7.025 Å; angles 90.00, 90.00, 90.00 degrees
Space group F-43m (No. 216)
Asymmetric unit:
Gd  0.000  0.000  0.000
Hf  0.250  0.250  0.250
U  0.000  0.000  0.500

Calculated values
energy of formation: 3.5 eV per formula unit
offset from the most stable computed form: 0.000 eV per atom

ZrCuBMo | PBE | relaxed

Cell lengths 6.165, 6.165, 6.165 Å; angles 90.00, 90.00, 90.00 degrees
Space group F-43m (No. 216)
Asymmetric unit:
Zr  0.000  0.000  0.000
Cu  0.000  0.000  0.500
B  0.250  0.250  0.250
Mo  0.250  0.250  0.750

Calculated values
offset from the most stable computed form: 0.125 eV per atom

OsAuSeO | PBE | relaxed

Cell lengths 3.543, 3.543, 10.658 Å; angles 90.00, 90.00, 90.00 degrees
Space group P4/nmm (No. 129, origin choice 2)
Asymmetric unit:
Os  0.250  0.250  0.118
Au  0.250  0.750  0.500
Se  0.250  0.250  0.769
O  0.250  0.750  0.000

Calculated values
offset from the most stable computed form: 0.494 eV per atom

PrAsPd | PBE | relaxed

Cell lengths 5.0898, 5.0898, 5.9692 Å; angles 90.00, 90.00, 120.00 degrees
Space group P6_3/mmc (No. 194)
Asymmetric unit:
Pr  0.3333  0.6667  0.2500
As  0.3333  0.6667  0.7500
Pd  0.0000  0.0000  0.0000

Calculated values
DFT total energy: -5.6825 eV/atom

Computed values of total magnetic moment (unit: μB/cell) for the preceding records, in sequence: 14.59 0.01 9.38 0.11 0.01 0.01.